{"formula": "DyYSc2As4", "functional": "GGA-PBE", "state": "optimized geometry", "lattice_angstrom": [[-1.1168, 3.6285, -1.2852], [-6.6398, -1.7109, 0.9395], [-1.9392, 1.6857, 6.4445]], "species": ["Dy", "Y", "Sc", "Sc", "As", "As", "As", "As"], "fractional_positions": [[0.5000, 0.5000, 0.0000], [0.0000, 0.5000, 0.5000], [0.0000, 0.0000, 0.0000], [0.5000, 0.0000, 0.5000], [0.0000, 0.7651, 0.7452], [0.0000, 0.2349, 0.2548], [0.5000, 0.7654, 0.2446], [0.5000, 0.2346, 0.7554]], "e_form_ev_per_atom": -1.45, "m_tot_mub_per_fu": 0.000}

{"formula": "Dy5As4Se", "functional": "GGA-PBE", "state": "optimized geometry", "lattice_angstrom": [[5.2349, 0.0000, 2.5250], [2.6175, 6.5013, 1.2625], [-0.2069, 0.0000, 7.1182]], "species": ["Dy", "Dy", "Dy", "Dy", "Dy", "As", "As", "As", "As", "Se"], "fractional_positions": [[0.8989, 0.4075, 0.7967], [0.3064, 0.7967, 0.5925], [0.6956, 0.2033, 0.4075], [0.1031, 0.5925, 0.2033], [0.5012, 0.0000, 0.0000], [0.3998, 0.3997, 0.8027], [0.7995, 0.8027, 0.6003], [0.2025, 0.1973, 0.3997], [0.6022, 0.6003, 0.1973], [0.0012, 0.0000, 0.0000]], "formation_energy_uncorrected_ev_per_atom": -1.633, "m_tot_mub_per_fu": 0.000}

{"formula": "Dy3AsSe6", "functional": "GGA-PBE", "state": "optimized geometry", "lattice_angstrom": [[-3.8688, -5.5796, 1.5499], [-1.0515, -1.6721, -8.6444], [7.3481, -4.5348, 2.0171]], "species": ["Dy", "Dy", "Dy", "Dy", "Dy", "Dy", "As", "As", "Se", "Se", "Se", "Se", "Se", "Se", "Se", "Se", "Se", "Se", "Se", "Se"], "fractional_positions": [[0.4849, 0.9177, 0.7190], [0.9849, 0.7190, 0.9177], [0.3834, 0.4038, 0.5962], [0.8834, 0.5962, 0.4038], [0.9849, 0.0823, 0.2810], [0.4849, 0.2810, 0.0823], [0.0073, 0.1784, 0.8216], [0.5073, 0.8216, 0.1784], [0.1821, 0.6962, 0.6334], [0.6821, 0.6334, 0.6962], [0.1892, 0.4245, 0.9021], [0.6892, 0.9021, 0.4245], [0.2430, 0.0122, 0.9878], [0.6392, 0.2325, 0.7675], [0.1392, 0.7675, 0.2325], [0.7430, 0.9878, 0.0122], [0.1892, 0.0979, 0.5755], [0.6892, 0.5755, 0.0979], [0.1821, 0.3666, 0.3038], [0.6821, 0.3038, 0.3666]], "formation_energy_uncorrected_ev_per_atom": -1.384, "m_tot_mub_per_fu": 0.000}

{"formula": "Dy6AsSe5", "functional": "GGA-PBE", "state": "optimized geometry", "lattice_angstrom": [[-0.2324, 6.8414, 1.7679], [-3.6030, -2.3321, -5.6182], [-4.0349, -2.6826, 5.1730]], "species": ["As", "Se", "Se", "Se", "Se", "Se", "Dy", "Dy", "Dy", "Dy", "Dy", "Dy"], "fractional_positions": [[0.0000, 0.0000, 0.0000], [0.8309, 0.1691, 0.5000], [0.6667, 0.3333, 0.0000], [0.5000, 0.5000, 0.5000], [0.3333, 0.6667, 0.0000], [0.1691, 0.8309, 0.5000], [0.9189, 0.5945, 0.7573], [0.4055, 0.0811, 0.2427], [0.7555, 0.7555, 0.2434], [0.2445, 0.2445, 0.7566], [0.5945, 0.9189, 0.7573], [0.0811, 0.4055, 0.2427]], "formation_energy_uncorrected_ev_per_atom": -1.743, "m_tot_mub_per_fu": 0.000}

{"formula": "DyAsSe", "functional": "GGA-PBE", "state": "optimized geometry", "lattice_angstrom": [[-1.7815, -1.4885, -3.1174], [6.3956, -0.6213, -3.3581], [1.0463, -8.8591, 3.6319]], "species": ["As", "As", "As", "As", "Se", "Se", "Se", "Se", "Dy", "Dy", "Dy", "Dy"], "fractional_positions": [[0.7500, 0.3985, 0.5406], [0.2500, 0.1015, 0.0406], [0.7500, 0.8985, 0.9594], [0.2500, 0.6015, 0.4594], [0.2500, 0.0871, 0.6536], [0.7500, 0.4129, 0.1536], [0.2500, 0.5871, 0.8464], [0.7500, 0.9129, 0.3464], [0.2500, 0.7158, 0.1599], [0.7500, 0.2842, 0.8401], [0.2500, 0.2158, 0.3401], [0.7500, 0.7842, 0.6599]], "formation_energy_uncorrected_ev_per_atom": -1.417, "m_tot_mub_per_fu": 0.000}

{"formula": "Dy2AsSe", "functional": "GGA-PBE", "state": "optimized geometry", "lattice_angstrom": [[-3.5767, 1.8481, -0.1004], [-2.9502, -1.4481, -2.3276], [-4.4146, -3.9091, 4.5437]], "species": ["Dy", "Dy", "As", "Se"], "fractional_positions": [[0.0765, 0.0765, 0.7706], [0.2567, 0.2567, 0.2299], [0.6682, 0.6682, 0.9955], [0.4987, 0.4987, 0.5040]], "de_polymorph_kcal_per_mol_atoms": 1.76, "formation_energy_uncorrected_ev_per_atom": -1.633, "m_tot_mub_per_fu": 0.000}